An optimized crystal structure of LaCr3Au. Source: Alexandria, functional GGA-PBEsol.

Unit cell a=4.3955 b=4.3955 c=4.3955 alpha=90.00 beta=90.00 gamma=90.00
Last column: magnetic moment on the atom in μB.
Fractional positions:
La (0.0000, 0.0000, 0.0000)  0.00
Au (0.5000, 0.5000, 0.5000)  -0.01
Cr (0.5000, 0.0000, 0.0000)  0.82
Cr (0.0000, 0.5000, 0.0000)  0.82
Cr (0.0000, 0.0000, 0.5000)  0.82

Values from the calculation:
* formation energy from the elements: 1.9251 eV/atom